(1)
VASP calculation (GGA-PBE) on a geometry-optimized Cd5PbCl12 structure.

Geometry as POSCAR:
```
Cd5PbCl12
1.0
-6.271 1.803 -2.176
-1.419 0.041 -6.747
-3.814 -12.236 0.703
Cl Cd Pb
12 5 1
Direct
0.501 0.667 0.391
0.000 0.360 0.883
0.361 0.640 0.883
0.832 0.667 0.609
0.168 0.333 0.391
0.639 0.360 0.117
0.360 0.000 0.117
0.640 0.000 0.883
0.835 0.000 0.390
0.165 0.000 0.610
0.000 0.640 0.117
0.499 0.333 0.609
0.167 0.667 0.500
0.667 0.667 0.000
0.500 0.000 0.500
0.833 0.333 0.500
0.333 0.333 0.000
0.000 0.000 0.000
```

Calculated values
Total magnetization in μB per formula unit: 0.00
E_form (uncorrected) in eV/atom: -1.09
D(E_F) in states/eV per atom: 0.0000



(2)
VASP calculation (GGA-PBE) on a geometry-optimized CdPb2Cl structure.

Geometry as POSCAR:
```
CdPb2Cl
1.0
3.476 0.000 0.000
0.000 3.476 0.000
0.000 0.000 8.966
Cd Cl Pb
1 1 2
Direct
0.500 0.500 0.250
0.500 0.500 0.750
0.000 0.000 0.499
0.000 0.000 0.001
```

Calculated values
Total magnetization in μB per formula unit: 0.00
Polymorph energy (0 for the lowest one) in meV/atom: 21
E_form (uncorrected) in eV/atom: -0.25
D(E_F) in states/eV per atom: 0.2587